Density functional theory data (PBE) for an optimized crystal structure of PrY2Tm3S6.

Unit cell a=3.8888 b=7.8921 c=8.7596 alpha=103.64 beta=102.83 gamma=90.00
Last column: nearest neighbours and their distance in Å.
Positions (direct):
S (0.6656, 0.5877, 0.3313)  3 Tm 2.75, 3 Y 2.80-2.81
S (0.9990, 0.2661, 0.9980)  3 Tm 2.68-2.71, 1 Y 2.76, 2 Pr 2.87
S (0.0010, 0.7339, 0.0020)  3 Tm 2.68-2.71, 1 Y 2.76, 2 Pr 2.87
S (0.3268, 0.9185, 0.6535)  3 Tm 2.69-2.73, 2 Y 2.79, 1 Pr 2.87
S (0.6732, 0.0815, 0.3465)  3 Tm 2.69-2.73, 2 Y 2.79, 1 Pr 2.87
S (0.3344, 0.4123, 0.6687)  3 Tm 2.75, 3 Y 2.80-2.81
Y (0.8346, 0.6695, 0.6692)  6 S 2.76-2.81
Y (0.1654, 0.3305, 0.3308)  6 S 2.76-2.81
Pr (0.5000, 0.0000, 0.0000)  6 S 2.87
Tm (0.5000, 0.5000, 0.0000)  6 S 2.68-2.75
Tm (0.8358, 0.1662, 0.6715)  6 S 2.69-2.75
Tm (0.1642, 0.8338, 0.3285)  6 S 2.69-2.75

Output
**M_tot**: 0.0 μB per formula unit
**Density of states at the Fermi level**: 5.0 states/eV per cell
**Space-group type**: C2/m, No. 12
**E_tot**: -6.62 eV per atom
**E_form (uncorrected)**: -1.9667 eV/atom